Entry 1:
# Zr2Zn2Fe

A relaxed structure of Zr2Zn2Fe (PBE, Alexandria).

Values from the calculation:
energy: -5.60 eV per atom
space group: P4/mbm (127)
D(E_F): 10.567 states/eV/cell
calculated formation energy: 17 meV/atom

Cell: 6.702 6.702 3.837 Å, 90.00 90.00 90.00°
Fractional coordinates of all 10 atoms:
Zr (0.677, 0.823, 0.500)
Zr (0.823, 0.323, 0.500)
Zr (0.177, 0.677, 0.500)
Zr (0.323, 0.177, 0.500)
Zn (0.130, 0.370, 0.000)
Zn (0.630, 0.130, 0.000)
Zn (0.370, 0.870, 0.000)
Zn (0.870, 0.630, 0.000)
Fe (0.000, 0.000, 0.000)
Fe (0.500, 0.500, 0.000)

***

Entry 2:
# Zr6ZnFe

A relaxed structure of Zr6ZnFe (PBE, Alexandria).

Values from the calculation:
energy: -7.71 eV per atom
space group: I4/mmm (139)
D(E_F): 6.761 states/eV/cell
energy above the most stable polymorph in this dataset: 0 meV/atom
calculated formation energy: -79 meV/atom

Cell: 4.597 4.597 8.358 Å, 74.02 74.02 89.99°
Fractional coordinates of all 8 atoms:
Zr (0.608, 0.108, 0.783)
Zr (0.750, 0.750, 0.499)
Zr (0.892, 0.392, 0.217)
Zr (0.392, 0.892, 0.217)
Zr (0.108, 0.608, 0.783)
Zr (0.250, 0.250, 0.501)
Zn (0.500, 0.500, 0.000)
Fe (0.000, 0.000, 0.000)

***

Entry 3:
# ZrZnFe3

A relaxed structure of ZrZnFe3 (PBE, Alexandria).

Values from the calculation:
energy: -5.52 eV per atom
space group: Pm-3m (221)
D(E_F): 5.531 states/eV/cell
energy above the most stable polymorph in this dataset: 701 meV/atom
calculated formation energy: 1525 meV/atom

Cell: 4.592 4.592 4.592 Å, 90.00 90.00 90.00°
Fractional coordinates of all 5 atoms:
Zr (0.000, 0.000, 0.000)
Zn (0.500, 0.500, 0.500)
Fe (0.000, 0.500, 0.000)
Fe (0.500, 0.000, 0.000)
Fe (0.000, 0.000, 0.500)

***

Entry 4:
# Zr2Zn3Fe

A relaxed structure of Zr2Zn3Fe (PBE, Alexandria).

Values from the calculation:
energy: -5.11 eV per atom
space group: C2/m (12)
D(E_F): 5.749 states/eV/cell
calculated formation energy: -209 meV/atom

Cell: 5.150 5.150 5.198 Å, 89.97 119.66 120.08°
Fractional coordinates of all 6 atoms:
Fe (0.000, 0.000, 0.000)
Zr (0.746, 0.373, 0.120)
Zr (0.254, 0.627, 0.880)
Zn (0.500, 0.000, 0.500)
Zn (0.500, 0.500, 0.500)
Zn (0.000, 0.000, 0.500)

***

Entry 5:
# ZrZn2Fe4

A relaxed structure of ZrZn2Fe4 (PBE, Alexandria).

Values from the calculation:
energy: -5.20 eV per atom
space group: I4/mmm (139)
D(E_F): 9.095 states/eV/cell
calculated formation energy: 1223 meV/atom

Cell: 4.521 4.521 7.183 Å, 71.66 71.66 90.00°
Fractional coordinates of all 7 atoms:
Fe (0.000, 0.500, 0.000)
Fe (0.500, 0.000, 0.000)
Fe (0.790, 0.790, 0.419)
Fe (0.210, 0.210, 0.581)
Zr (0.000, 0.000, 0.000)
Zn (0.398, 0.398, 0.203)
Zn (0.602, 0.602, 0.797)

***

Entry 6:
# Zr3ZnFe

A relaxed structure of Zr3ZnFe (PBE, Alexandria).

Values from the calculation:
energy: -7.22 eV per atom
space group: Fmmm (69)
D(E_F): 11.602 states/eV/cell
energy above the most stable polymorph in this dataset: 0 meV/atom
calculated formation energy: -147 meV/atom

Cell: 5.339 5.339 8.718 Å, 64.22 64.22 65.16°
Fractional coordinates of all 10 atoms:
Zr (0.306, 0.306, 0.888)
Zr (0.694, 0.694, 0.112)
Zr (0.290, 0.290, 0.272)
Zr (0.937, 0.937, 0.272)
Zr (0.710, 0.710, 0.728)
Zr (0.063, 0.063, 0.728)
Fe (0.750, 0.250, 0.000)
Fe (0.250, 0.750, 0.000)
Zn (0.706, 0.294, 0.500)
Zn (0.294, 0.706, 0.500)